# Y3NbO7 GGA-PBE relaxed
# spin magnetization: 0.0 Bohr magnetons per cell
# distance to the lowest polymorph of the same formula: 240 meV per atom
# formation energy from raw total energies: -3.05 eV per atom
data_Y3NbO7
_cell_length_a 7.498
_cell_length_b 14.540
_cell_length_c 5.385
_cell_angle_alpha 90.00
_cell_angle_beta 90.00
_cell_angle_gamma 90.00
_symmetry_space_group_name_H-M 'C m m e'
_symmetry_Int_Tables_number 67
_symmetry_space_group_name_Hall '-C 2a 2'
loop_
_atom_site_label
_atom_site_fract_x
_atom_site_fract_y
_atom_site_fract_z
_atom_site_occupancy
Y1 0.000 0.120 0.028 1
Y2 0.250 0.250 0.500 1
Nb1 0.250 0.000 0.500 1
O1 0.000 0.013 0.288 1
O2 0.000 0.250 0.256 1
O3 0.217 0.120 0.737 1